<i>
## AcTb2Gd (GGA-PBE)

Data for a relaxed structure of AcTb2Gd.

a b c (Å): 3.5952 3.5952 12.9083
angles (deg): 81.99 81.99 60.00
Each line ends with the local moment (μB).
Fractional positions:
Ac  0.0000  0.0000  0.0000  -0.01
Gd  0.5000  0.5000  0.5000  7.13
Tb  0.0923  0.0923  0.7230  -0.08
Tb  0.9077  0.9077  0.2770  -0.08

<ii>
## AcTb2Gd (GGA-PBE)

Data for a relaxed structure of AcTb2Gd.

a b c (Å): 5.1695 5.2062 5.2062
angles (deg): 90.00 90.00 90.00
Each line ends with the local moment (μB).
Fractional positions:
Ac  0.5000  0.5000  0.5000  -0.02
Gd  0.5000  0.0000  0.0000  7.18
Tb  0.0000  0.0000  0.5000  0.01
Tb  0.0000  0.5000  0.0000  0.01

Stability ranking, top entry: <ii>; the second entry is 143 meV per atom less favorable.

<i>
## AcTb2Gd (GGA-PBE)

Data for a relaxed structure of AcTb2Gd.

a b c (Å): 3.7222 3.7222 10.1431
angles (deg): 90.00 90.00 90.00
Each line ends with the local moment (μB).
Fractional positions:
Ac  0.5000  0.5000  0.5000  -0.02
Gd  0.5000  0.5000  0.0000  7.15
Tb  0.0000  0.0000  0.7630  -0.03
Tb  0.0000  0.0000  0.2370  -0.03

<ii>
## AcTb2Gd (GGA-PBE)

Data for a relaxed structure of AcTb2Gd.

a b c (Å): 5.8518 5.8518 5.8518
angles (deg): 60.00 60.00 60.00
Each line ends with the local moment (μB).
Fractional positions:
Ac  0.5000  0.5000  0.5000  0.02
Gd  0.0000  0.0000  0.0000  7.28
Tb  0.2500  0.2500  0.2500  0.13
Tb  0.7500  0.7500  0.7500  0.13

Stability ranking, top entry: <i>; the second entry is 68 meV per atom less favorable.